Material: Tb3Tm4Cd
Method: DFT, PBE
State: optimized geometry

Cell lengths 3.526, 3.526, 19.049 Å; angles 90.00, 90.00, 90.00 degrees
Atoms (fractional coordinates):
Cd: 0.500 0.500 0.000
Tm: 0.000 0.000 0.892
Tm: 0.000 0.000 0.631
Tm: 0.000 0.000 0.108
Tb: 0.500 0.500 0.238
Tb: 0.500 0.500 0.500
Tm: 0.000 0.000 0.369
Tb: 0.500 0.500 0.762

Calculated values
* symmetry: P4/mmm (123)
* calculated formation energy: -0.06 eV/atom
* energy: -33.20 eV per cell
* distance to the lowest polymorph of the same formula: 0.000 eV/f.u.
* total moment: 0.00 μB/f.u.



Material: Pm3HoSn4
Method: DFT, PBE
State: optimized geometry

Cell lengths 6.320, 6.322, 12.615 Å; angles 90.00, 90.00, 90.00 degrees
Atoms (fractional coordinates):
Pm: 0.564 0.250 0.250
Pm: 0.064 0.750 0.250
Sn: 0.565 0.253 0.000
Ho: 0.564 0.747 0.500
Sn: 0.064 0.753 0.000
Sn: 0.064 0.250 0.247
Pm: 0.064 0.750 0.750
Sn: 0.564 0.247 0.500
Ho: 0.064 0.253 0.000
Sn: 0.064 0.250 0.753
Pm: 0.064 0.247 0.500
Sn: 0.564 0.750 0.747
Pm: 0.564 0.250 0.750
Sn: 0.564 0.750 0.253
Sn: 0.065 0.747 0.500
Pm: 0.564 0.753 0.000

Calculated values
* symmetry: Pmmn (59)
* calculated formation energy: -0.53 eV/atom
* energy: -78.18 eV per cell
* total moment: 0.00 μB/f.u.



Material: UCoSnS4
Method: DFT, PBE
State: optimized geometry

Cell lengths 6.470, 5.594, 8.074 Å; angles 90.00, 106.17, 90.00 degrees
Atoms (fractional coordinates):
U: 0.745 0.750 0.448
S: 0.020 0.993 0.728
S: 0.980 0.007 0.272
Sn: 0.288 0.250 0.044
Co: 0.765 0.250 0.654
S: 0.575 0.250 0.855
Sn: 0.712 0.750 0.956
S: 0.425 0.750 0.145
S: 0.980 0.493 0.272
Co: 0.235 0.750 0.346
S: 0.434 0.750 0.607
S: 0.566 0.250 0.393
S: 0.020 0.507 0.728
U: 0.255 0.250 0.552

Calculated values
* symmetry: P2_1/m (11)
* energy: -88.15 eV per cell
* energy relative to the elements, uncorrected: -0.739 eV per atom
* total moment: 0.19 μB/f.u.